# AlVHgF6

A relaxed AlVHgF6 crystal (PBE with a Hubbard U, Alexandria).

Unit cell a=5.208 b=5.208 c=14.170 alpha=90.00 beta=90.00 gamma=120.00
Positions (direct):
1 Al 0.333 0.667 0.250
2 Al 0.667 0.333 0.750
3 V 0.333 0.667 0.750
4 V 0.667 0.333 0.250
5 Hg 0.000 0.000 0.000
6 Hg 0.000 0.000 0.500
7 F 0.024 0.391 0.178
8 F 0.024 0.634 0.322
9 F 0.366 0.391 0.322
10 F 0.366 0.976 0.178
11 F 0.391 0.024 0.678
12 F 0.391 0.366 0.822
13 F 0.609 0.634 0.178
14 F 0.609 0.976 0.322
15 F 0.634 0.024 0.822
16 F 0.634 0.609 0.678
17 F 0.976 0.366 0.678
18 F 0.976 0.609 0.822

Results
- space group = P-31c, No. 163
- M_tot (μB per formula unit) = 1.962
- DFT total energy (eV per atom) = -5.205